{
  "formula": "MgHIr2Pd",
  "functional": "PBE",
  "state": "relaxed",
  "lattice": [[3.894, 0.000, 0.000], [0.000, 3.894, 0.000], [0.000, 0.000, 4.133]],
  "species": ["H", "Pd", "Mg", "Ir", "Ir"],
  "frac_coords": [[0.000, 0.000, 0.000], [0.500, 0.500, 0.500], [0.000, 0.000, 0.500], [0.000, 0.500, 0.000], [0.500, 0.000, 0.000]],
  "spacegroup": "P4/mmm (123)",
  "total_energy_ev_per_cell": -28.4
}